[1]
The following is a GGA-PBE calculation of TmReSn after structural relaxation, from the Alexandria database.

DFT formation energy ... 41 meV/atom

```
data_TmReSn
_space_group_name_H-M_alt 'P 4/n m m'
_space_group_IT_number 129
_cell_length_a 3.6439
_cell_length_b 3.6439
_cell_length_c 10.5913
_cell_angle_alpha 90.00
_cell_angle_beta 90.00
_cell_angle_gamma 90.00
loop_
_space_group_symop_operation_xyz
'x,y,z'
'-x,-y,-z'
'-y+1/2,x,z'
'y+1/2,-x,-z'
'-x+1/2,-y+1/2,z'
'x+1/2,y+1/2,-z'
'y,-x+1/2,z'
'-y,x+1/2,-z'
'x+1/2,-y,-z'
'-x+1/2,y,z'
'-y,-x,-z'
'y,x,z'
'-x,y+1/2,-z'
'x,-y+1/2,z'
'y+1/2,x+1/2,-z'
'-y+1/2,-x+1/2,z'
loop_
_atom_site_label
_atom_site_type_symbol
_atom_site_fract_x
_atom_site_fract_y
_atom_site_fract_z
Tm1 Tm 0.2500 0.2500 0.2287
Re1 Re 0.2500 0.7500 0.0000
Sn1 Sn 0.2500 0.2500 0.5830
```

---

[2]
The following is a GGA-PBE calculation of Ac2HoTe2Se2 after structural relaxation, from the Alexandria database.

```
data_Ac2HoTe2Se2
_space_group_name_H-M_alt 'I 4/m m m'
_space_group_IT_number 139
_space_group_name_Hall '-I 4 2'
_cell_length_a 5.2927
_cell_length_b 5.2927
_cell_length_c 16.8302
_cell_angle_alpha 90.00
_cell_angle_beta 90.00
_cell_angle_gamma 90.00
loop_
_atom_site_label
_atom_site_type_symbol
_atom_site_fract_x
_atom_site_fract_y
_atom_site_fract_z
Ac1 Ac 0.0000 0.0000 0.1247
Ho1 Ho 0.0000 0.0000 0.5000
Te1 Te 0.0000 0.0000 0.3195
Se1 Se 0.0000 0.5000 0.0000
```

---

[3]
The following is a GGA-PBE calculation of Pm4NdCu after structural relaxation, from the Alexandria database.

DFT formation energy ... -33 meV/atom

```
data_Pm4NdCu
_space_group_name_H-M_alt 'P 4/m m m'
_space_group_IT_number 123
_space_group_name_Hall '-P 4 2'
_cell_length_a 3.6346
_cell_length_b 3.6346
_cell_length_c 13.9460
_cell_angle_alpha 90.00
_cell_angle_beta 90.00
_cell_angle_gamma 90.00
loop_
_atom_site_label
_atom_site_type_symbol
_atom_site_fract_x
_atom_site_fract_y
_atom_site_fract_z
Pm1 Pm 0.0000 0.0000 0.1233
Pm2 Pm 0.5000 0.5000 0.3138
Nd1 Nd 0.0000 0.0000 0.5000
Cu1 Cu 0.5000 0.5000 0.0000
```

---

no.,E_tot (eV per atom),density of states at the Fermi level (states/eV/atom)
1,-6.933,0.791
2,-5.290,0.386
3,-4.677,1.373